Record 1
A relaxed BeNbRe crystal, computed with PBE.

Values from the calculation:
- VASP energy (eV/cell) = -108.049
- energy of formation (meV per atom) = -256
- energy relative to the lowest polymorph listed for this composition (meV/atom) = 30
- space group = Ima2, No. 46
- spin magnetization (μB/atom) = 0.000

Cell lengths 4.821, 5.834, 5.792 Å; angles 90.00, 90.00, 90.00 degrees
Atoms (fractional coordinates):
Re (0.750, 0.681, 0.563)
Re (0.750, 0.819, 0.063)
Nb (0.750, 0.159, 0.730)
Be (0.500, 0.000, 0.383)
Nb (0.250, 0.659, 0.230)
Be (0.500, 0.500, 0.883)
Be (0.000, 0.500, 0.883)
Nb (0.250, 0.841, 0.730)
Re (0.250, 0.319, 0.563)
Nb (0.750, 0.341, 0.230)
Re (0.250, 0.181, 0.063)
Be (0.000, 0.000, 0.383)

Record 2
A relaxed Ac2ZnCd2 crystal, computed with PBE.

Values from the calculation:
- VASP energy (eV/cell) = -25.335
- energy of formation (meV per atom) = -269
- energy relative to the lowest polymorph listed for this composition (meV/atom) = 0
- space group = C2/m, No. 12
- spin magnetization (μB/atom) = 0.000

Cell lengths 4.950, 6.313, 10.891 Å; angles 85.78, 76.86, 66.92 degrees
Atoms (fractional coordinates):
Ac (0.684, 0.293, 0.340)
Ac (0.914, 0.283, 0.890)
Ac (0.316, 0.707, 0.660)
Cd (0.083, 0.271, 0.563)
Cd (0.629, 0.862, 0.880)
Zn (0.380, 0.891, 0.350)
Zn (0.620, 0.109, 0.650)
Ac (0.086, 0.717, 0.110)
Cd (0.371, 0.138, 0.120)
Cd (0.917, 0.729, 0.437)